No. 1
# CsTl3Te2

A geometry-optimized CsTl3Te2 structure (PBE, Alexandria via LeMat-Bulk).

Geometry as POSCAR:
```
CsTl3Te2
1.0
-4.598 -2.512 -0.826
2.717 -2.090 8.261
-5.749 10.606 -0.243
Tl Cs Te
6 2 4
direct
0.602 0.204 0.628 Tl
0.398 0.796 0.372 Tl
0.974 0.949 0.636 Tl
0.713 0.426 0.408 Tl
0.026 0.051 0.364 Tl
0.287 0.574 0.592 Tl
0.867 0.734 0.956 Cs
0.133 0.266 0.044 Cs
0.530 0.060 0.208 Te
0.470 0.940 0.792 Te
0.197 0.394 0.771 Te
0.803 0.606 0.229 Te
```

Calculated values
Formation energy without anion corrections   -2.85 eV per formula unit
SG   C2/m


No. 2
# BaMg3Al

A geometry-optimized BaMg3Al structure (PBE, Alexandria via LeMat-Bulk).

Geometry as POSCAR:
```
BaMg3Al
1.0
-1.145 -3.267 -3.243
-3.104 -4.584 5.714
-7.812 1.923 0.822
Ba Al Mg
2 2 6
direct
0.381 0.534 0.231 Ba
0.881 0.141 0.576 Ba
0.381 0.805 0.668 Al
0.881 0.870 0.137 Al
0.881 0.246 0.041 Mg
0.381 0.991 0.295 Mg
0.381 0.000 0.922 Mg
0.881 0.673 0.883 Mg
0.381 0.429 0.768 Mg
0.881 0.686 0.510 Mg
```

Calculated values
SG   Pm
Fermi-level density of states   3.10 states/eV/f.u.


Number 1: E_tot -2.848 eV per atom. Number 2: E_tot -2.166 eV per atom.